A geometry-optimized BaMgSnHg2 structure, computed with GGA-PBE.

Unit cell a=4.727 b=4.727 c=13.021 alpha=90.00 beta=90.00 gamma=90.00
Space group I-4m2 (No. 119)
Asymmetric unit:
Ba 0.000 0.000 0.000 [2 per cell]
Mg 0.000 0.500 0.250 [2 per cell]
Sn 0.000 0.500 0.750 [2 per cell]
Hg 0.000 0.000 0.387 [4 per cell]

Properties
energy of formation = -0.417 eV/atom

---

A geometry-optimized Ba3Sr2Mg2Hg4 structure, computed with GGA-PBE.

Unit cell a=5.4679 b=5.4679 c=15.5050 alpha=90.00 beta=90.00 gamma=120.00
Space group P-3m1 (No. 164)
Asymmetric unit:
Ba 0.0000 0.0000 0.0000 [1 per cell]
Ba 0.0000 0.0000 0.2562 [2 per cell]
Sr 0.3333 0.6667 0.5768 [2 per cell]
Mg 0.3333 0.6667 0.1450 [2 per cell]
Hg 0.3333 0.6667 0.3511 [2 per cell]
Hg 0.3333 0.6667 0.8631 [2 per cell]

Properties
energy of formation = -0.316 eV/atom

---

A geometry-optimized BaSr2MgHg4 structure, computed with GGA-PBE.

Unit cell a=5.5558 b=5.5558 c=27.9903 alpha=90.00 beta=90.00 gamma=120.00
Space group R-3m (No. 166, hexagonal axes)
Asymmetric unit:
Ba 0.0000 0.0000 0.0000 [3 per cell]
Sr 0.0000 0.0000 0.2423 [6 per cell]
Mg 0.0000 0.0000 0.5000 [3 per cell]
Hg 0.0000 0.0000 0.1260 [6 per cell]
Hg 0.0000 0.0000 0.3839 [6 per cell]

Properties
energy of formation = -0.426 eV/atom

---

What did we get for total energy? Answer: -2.0422, -1.5460, -1.4373 eV per atom, in the order shown.
What did we get for calculated volume? Answer: 291.0, 401.5, 748.2 Å³/cell, in the order shown.